Density functional theory data (PBE-GGA) for a relaxed structure of Tb3Pr2Sn4.

ΔE to the lowest computed polymorph (eV/atom): 0.164
Space group: No. 64

Cell lengths 7.076, 8.996, 9.332 Å; angles 90.00, 112.28, 90.00 degrees
Fractional positions:
Sn1 0.781 0.250 0.062
Sn2 0.314 0.444 0.628
Sn3 0.719 0.750 0.938
Sn4 0.281 0.250 0.062
Sn5 0.814 0.056 0.628
Sn6 0.219 0.750 0.938
Sn7 0.186 0.944 0.372
Sn8 0.686 0.556 0.372
Tb1 0.500 0.500 0.000
Tb2 0.000 0.000 0.000
Tb3 0.543 0.750 0.587
Tb4 0.043 0.750 0.587
Tb5 0.957 0.250 0.413
Tb6 0.457 0.250 0.413
Pr1 0.389 0.089 0.779
Pr2 0.111 0.589 0.221
Pr3 0.611 0.911 0.221
Pr4 0.889 0.411 0.779

---

Density functional theory data (PBE-GGA) for a relaxed structure of TbPr6Sn4.

Space group: No. 121

Cell lengths 8.358, 8.358, 8.358 Å; angles 86.42, 122.09, 122.09 degrees
Fractional positions:
Tb1 0.000 0.000 0.000
Sn1 0.000 0.632 0.168
Sn2 0.464 0.832 0.832
Sn3 0.000 0.168 0.632
Sn4 0.536 0.368 0.368
Pr1 0.500 0.000 0.500
Pr2 0.000 0.822 0.504
Pr3 0.000 0.504 0.822
Pr4 0.500 0.500 0.000
Pr5 0.318 0.496 0.496
Pr6 0.682 0.178 0.178

---

Density functional theory data (PBE-GGA) for a relaxed structure of Tb2Pr5Sn5.

Space group: No. 12

Cell lengths 4.488, 7.870, 12.968 Å; angles 109.11, 90.00, 106.57 degrees
Site moments in Bohr magnetons follow the coordinates.
Fractional positions:
Sn1 0.884 0.769 0.575  0.00
Sn2 0.116 0.231 0.425  0.00
Sn3 0.309 0.617 0.207  -0.01
Sn4 0.691 0.383 0.793  -0.01
Sn5 0.000 0.000 0.000  -0.01
Tb1 0.049 0.098 0.787  0.04
Tb2 0.951 0.902 0.213  0.04
Pr1 0.661 0.321 0.042  0.09
Pr2 0.728 0.456 0.344  0.01
Pr3 0.500 0.000 0.500  0.01
Pr4 0.272 0.544 0.656  0.01
Pr5 0.339 0.679 0.958  0.09

---

Density functional theory data (PBE-GGA) for a relaxed structure of TbPrSn.

ΔE to the lowest computed polymorph (eV/atom): 0.148
Space group: No. 129

Cell lengths 4.159, 4.159, 10.096 Å; angles 90.00, 90.00, 90.00 degrees
Site moments in Bohr magnetons follow the coordinates.
Fractional positions:
Pr1 0.500 0.000 0.405  -0.10
Pr2 0.000 0.500 0.595  -0.10
Tb1 0.000 0.500 0.908  0.32
Tb2 0.500 0.000 0.092  0.32
Sn1 0.000 0.500 0.239  0.00
Sn2 0.500 0.000 0.761  0.00

---

Density functional theory data (PBE-GGA) for a relaxed structure of TbPr2Sn.

ΔE to the lowest computed polymorph (eV/atom): 0.000
Space group: No. 123

Cell lengths 5.000, 4.909, 4.909 Å; angles 90.00, 90.00, 90.00 degrees
Fractional positions:
Pr1 0.000 0.500 0.000
Pr2 0.000 0.000 0.500
Tb1 0.500 0.000 0.000
Sn1 0.500 0.500 0.500

---

Density functional theory data (PBE-GGA) for a relaxed structure of TbPr3Sn12.

Space group: No. 123

Cell lengths 4.793, 4.793, 18.927 Å; angles 90.00, 90.00, 90.00 degrees
Fractional positions:
Sn1 0.500 0.500 0.500
Sn2 0.500 0.000 0.121
Sn3 0.500 0.000 0.879
Sn4 0.000 0.500 0.374
Sn5 0.500 0.500 0.247
Sn6 0.500 0.500 0.000
Sn7 0.000 0.500 0.626
Sn8 0.500 0.000 0.374
Sn9 0.000 0.500 0.879
Sn10 0.500 0.000 0.626
Sn11 0.000 0.500 0.121
Sn12 0.500 0.500 0.753
Pr1 0.000 0.000 0.500
Pr2 0.000 0.000 0.248
Pr3 0.000 0.000 0.752
Tb1 0.000 0.000 0.000

---

Density functional theory data (PBE-GGA) for a relaxed structure of TbPr2Sn.

ΔE to the lowest computed polymorph (eV/atom): 0.368
Space group: No. 63

Cell lengths 3.491, 5.691, 13.859 Å; angles 90.00, 97.24, 90.00 degrees
Fractional positions:
Pr1 0.906 0.250 0.811
Pr2 0.189 0.250 0.377
Pr3 0.811 0.750 0.623
Pr4 0.094 0.750 0.189
Sn1 0.695 0.750 0.391
Sn2 0.305 0.250 0.609
Tb1 0.973 0.750 0.945
Tb2 0.027 0.250 0.055

---

Density functional theory data (PBE-GGA) for a relaxed structure of TbPr2Sn3.

Space group: No. 71

Cell lengths 5.254, 6.378, 6.998 Å; angles 117.11, 112.05, 90.00 degrees
Fractional positions:
Sn1 0.350 0.350 0.699
Sn2 0.650 0.650 0.301
Sn3 0.000 0.000 0.000
Pr1 0.328 0.828 0.656
Pr2 0.672 0.172 0.344
Tb1 0.000 0.500 0.000

---

Density functional theory data (PBE-GGA) for a relaxed structure of Tb2PrSn.

ΔE to the lowest computed polymorph (eV/atom): 0.177
Space group: No. 216

Cell lengths 5.498, 5.498, 5.498 Å; angles 60.00, 60.00, 60.00 degrees
Fractional positions:
Pr1 0.500 0.500 0.500
Sn1 0.750 0.750 0.750
Tb1 0.000 0.000 0.000
Tb2 0.250 0.250 0.250

---

Density functional theory data (PBE-GGA) for a relaxed structure of TbPrSn2.

Space group: No. 123

Cell lengths 4.551, 4.946, 4.946 Å; angles 90.00, 90.00, 90.00 degrees
Fractional positions:
Sn1 0.000 0.000 0.500
Sn2 0.000 0.500 0.000
Pr1 0.500 0.000 0.000
Tb1 0.500 0.500 0.500

---

Density functional theory data (PBE-GGA) for a relaxed structure of TbPrSn.

ΔE to the lowest computed polymorph (eV/atom): 0.706
Space group: No. 107

Cell lengths 3.384, 3.384, 9.111 Å; angles 100.70, 100.70, 90.00 degrees
Fractional positions:
Tb1 0.759 0.759 0.518
Sn1 0.135 0.135 0.271
Pr1 0.955 0.955 0.911

---

Density functional theory data (PBE-GGA) for a relaxed structure of TbPr3Sn2.

ΔE to the lowest computed polymorph (eV/atom): 0.453
Space group: No. 71

Cell lengths 3.523, 5.850, 9.981 Å; angles 107.04, 100.16, 90.00 degrees
Fractional positions:
Pr1 0.000 0.500 0.000
Pr2 0.178 0.178 0.356
Pr3 0.822 0.822 0.644
Sn1 0.347 0.347 0.693
Sn2 0.653 0.653 0.307
Tb1 0.000 0.000 0.000

---

Uncorrected energy for the records above, in order: -5.016 -4.848 -4.984 -4.939 -4.986 -4.680 -4.618 -4.954 -4.759 -5.003 -4.381 -4.618 eV/atom